Record 1
Below is a relaxed GdNbAg2O4 crystal, with properties calculated at the PBE-GGA level.

As for the space group: P-3m1, No. 164. The value obtained for the magnetization is 2.0 μB per formula unit.

abc: 3.444 3.444 12.439
angles: 90.00 90.00 120.00
Last column: magnetic moment on the atom in μB.
Fractional positions:
1 O 0.667 0.333 0.928  0.02
2 O 0.333 0.667 0.072  0.02
3 O 0.667 0.333 0.589  0.01
4 O 0.333 0.667 0.411  0.01
5 Ag 0.333 0.667 0.242  0.04
6 Ag 0.667 0.333 0.758  0.04
7 Gd 0.000 0.000 0.500  0.01
8 Nb 0.000 0.000 0.000  1.48

***

Record 2
Below is a relaxed LiTbTlSe3 crystal, with properties calculated at the PBE-GGA level.

As for the space group: Cmcm, No. 63. The value obtained for the magnetization is 0.0 μB per formula unit.

abc: 7.188 7.188 11.057
angles: 90.00 90.00 146.83
Fractional positions:
1 Tb 0.500 0.500 0.000
2 Tb 0.500 0.500 0.500
3 Tl 0.762 0.238 0.250
4 Tl 0.238 0.762 0.750
5 Se 0.437 0.563 0.250
6 Se 0.862 0.138 0.946
7 Se 0.138 0.862 0.054
8 Se 0.563 0.437 0.750
9 Se 0.138 0.862 0.446
10 Se 0.862 0.138 0.554
11 Li 0.955 0.045 0.750
12 Li 0.045 0.955 0.250

***

Calculated calculated volume (Å³ per atom), listed in the same order as above: 16.0 26.0
Calculated DFT total energy (Ry per atom), listed in the same order as above: -0.49343 -0.31798
Calculated mass density (g cm⁻³), listed in the same order as above: 6.9 6.5